Arrangement one

MgPd4Pb: relaxed, PBE.

SG	C2/m, No. 12
crystal system	monoclinic

a b c (Å): 4.909 8.792 4.897
angles (deg): 90.00 75.28 90.00
Fractional positions:
Pd 0.000 0.337 0.000
Pd 0.000 0.663 0.000
Pd 0.500 0.333 0.500
Pd 0.000 0.833 0.500
Pd 0.500 0.163 0.000
Pd 0.000 0.167 0.500
Pd 0.500 0.667 0.500
Pd 0.500 0.837 0.000
Pb 0.500 0.500 0.000
Pb 0.000 0.000 0.000
Mg 0.500 0.000 0.500
Mg 0.000 0.500 0.500

Arrangement two

MgPd4Pb: relaxed, PBE.

SG	F-43m, No. 216
crystal system	cubic

a b c (Å): 5.377 5.377 5.377
angles (deg): 60.00 60.00 60.00
Fractional positions:
Mg 0.000 0.000 0.000
Pd 0.625 0.625 0.124
Pd 0.124 0.625 0.625
Pd 0.625 0.625 0.625
Pd 0.625 0.124 0.625
Pb 0.250 0.250 0.250

Verdict on stability: arrangement two comes out at the bottom.

Arrangement one

Mg8Pd2Pb: relaxed, PBE.

SG	P1, No. 1
crystal system	triclinic

a b c (Å): 4.703 6.787 8.291
angles (deg): 114.33 106.64 90.06
Fractional positions:
Mg 0.513 0.723 0.665
Mg 0.344 0.856 0.325
Mg 0.140 0.517 0.908
Mg 0.639 0.246 0.911
Mg 0.304 0.376 0.249
Mg 0.968 0.036 0.570
Mg 0.756 0.957 0.147
Mg 0.926 0.435 0.491
Pd 0.798 0.614 0.235
Pd 0.475 0.291 0.589
Pb 0.136 0.949 0.909

Arrangement two

Mg8Pd2Pb: relaxed, PBE.

SG	C2/m, No. 12
crystal system	monoclinic

a b c (Å): 5.053 7.343 7.343
angles (deg): 112.47 98.22 98.22
Fractional positions:
Mg 0.500 0.252 0.748
Mg 0.500 0.748 0.252
Mg 0.082 0.329 0.065
Mg 0.918 0.671 0.935
Mg 0.082 0.065 0.329
Mg 0.704 0.392 0.392
Mg 0.918 0.935 0.671
Mg 0.296 0.608 0.608
Pd 0.000 0.315 0.685
Pd 0.000 0.685 0.315
Pb 0.500 0.000 0.000

Verdict on stability: arrangement one comes out at the bottom.

Arrangement one

Pm2Mg2Pb: relaxed, PBE.

SG	I4/mmm, No. 139
crystal system	tetragonal

a b c (Å): 4.213 4.213 9.157
angles (deg): 103.30 103.30 90.00
Fractional positions:
Pm 0.589 0.589 0.177
Pm 0.411 0.411 0.823
Mg 0.750 0.250 0.500
Mg 0.250 0.750 0.500
Pb 0.000 0.000 0.000

Arrangement two

Pm2Mg2Pb: relaxed, PBE.

SG	C2/m, No. 12
crystal system	monoclinic

a b c (Å): 8.632 8.632 6.406
angles (deg): 49.36 49.36 25.85
Fractional positions:
Pm 0.695 0.695 0.834
Pm 0.305 0.305 0.166
Mg 0.419 0.419 0.476
Mg 0.581 0.581 0.524
Pb 0.000 0.000 0.000

Verdict on stability: arrangement one comes out at the bottom.